[1]
## Sr2C (PBE-GGA)

Data for a geometry-optimized Sr2C structure.

Lattice parameters (Å, degrees): 4.1440 4.1440 14.0142 90.00 90.00 122.06
Last column: nearest neighbours and their distance in Å.
Element x y z (fractional)
Sr 0.5149 0.4851 0.2086  3 C 2.73-2.75
Sr 0.8268 0.1732 0.5127  3 C 2.73-2.75
Sr 0.1732 0.8268 0.0127  3 C 2.73-2.75
Sr 0.4851 0.5149 0.7086  3 C 2.73-2.75
C 0.8441 0.1559 0.1107  6 Sr 2.73-2.75
C 0.1559 0.8441 0.6107  6 Sr 2.73-2.75

Values from the calculation:
Energy relative to the lowest polymorph listed for this composition, meV per atom: 412
Volume, Å³ per cell: 204.0
Final energy, eV per atom: -3.66
SG: Cmc2_1
N(E_F), states/eV per atom: 1.1807

=====

[2]
## Sr3C5 (PBE-GGA)

Data for a geometry-optimized Sr3C5 structure.

Lattice parameters (Å, degrees): 8.1448 7.3999 5.2742 90.00 90.00 118.91
Last column: nearest neighbours and their distance in Å.
Element x y z (fractional)
C 0.6181 0.2792 0.5938  3 C 1.49-1.65
C 0.6877 0.1619 0.7500  2 C 1.49
C 0.4764 0.3003 0.7500  2 C 1.49
C 0.3453 0.8077 0.2500  3 C 1.55-1.65
C 0.6181 0.2792 0.9062  3 C 1.49-1.65
C 0.2857 0.6051 0.0985  4 C 1.55-1.60
C 0.9840 0.8821 0.7500  3 Sr 2.53-2.60
C 0.2857 0.6051 0.4015  4 C 1.55-1.60
C 0.4729 0.6904 0.2500  3 C 1.56-1.65
C 0.1259 0.4241 0.2500  2 C 1.56
Sr 0.3042 0.8982 0.7500  7 C 2.55-2.79
Sr 0.3821 0.2811 0.2500  6 C 2.65-2.76
Sr 0.7506 0.1167 0.2500  7 C 2.67-2.97
Sr 0.6297 0.7175 0.7500  2 C 2.53-2.71
Sr 0.9478 0.6782 0.2500  6 C 2.88-3.15
Sr 0.0861 0.2732 0.7500  5 C 2.60-2.86

Values from the calculation:
Energy relative to the lowest polymorph listed for this composition, meV per atom: 472
Volume, Å³ per cell: 278.3
Final energy, eV per atom: -5.80
SG: Pm
N(E_F), states/eV per atom: 0.1647

=====

[3]
## Sr2C (PBE-GGA)

Data for a geometry-optimized Sr2C structure.

Lattice parameters (Å, degrees): 7.6399 7.6399 7.6399 29.48 29.48 29.48
Last column: nearest neighbours and their distance in Å.
Element x y z (fractional)
Sr 0.7385 0.7385 0.7385  3 C 2.74
Sr 0.5949 0.5949 0.5949  3 C 2.74
C 0.9999 0.9999 0.9999  6 Sr 2.74

Values from the calculation:
Energy relative to the lowest polymorph listed for this composition, meV per atom: 555
Volume, Å³ per cell: 95.6
Final energy, eV per atom: -3.52
SG: R3m
N(E_F), states/eV per atom: 0.7615

=====

[4]
## SrC (PBE-GGA)

Data for a geometry-optimized SrC structure.

Lattice parameters (Å, degrees): 3.8045 3.8045 4.6308 90.00 90.00 90.00
Last column: nearest neighbours and their distance in Å.
Element x y z (fractional)
Sr 0.5000 0.5000 0.0000  4 C 2.69
C 0.0000 0.0000 0.0000  4 Sr 2.69

Values from the calculation:
Energy relative to the lowest polymorph listed for this composition, meV per atom: 1690
Volume, Å³ per cell: 67.0
Final energy, eV per atom: -3.73
SG: P4/mmm
N(E_F), states/eV per atom: 0.5329

=====

[5]
## Sr5C (PBE-GGA)

Data for a geometry-optimized Sr5C structure.

Lattice parameters (Å, degrees): 7.1404 7.1404 10.0947 74.87 74.87 31.09
Last column: nearest neighbours and their distance in Å.
Element x y z (fractional)
Sr 0.4378 0.4378 0.7406  2 C 2.76
Sr 0.0422 0.0422 0.3204  7 Sr 3.83-4.28
Sr 0.6112 0.6112 0.9263  2 C 2.73
Sr 0.7470 0.7470 0.5006  6 Sr 3.83-4.21
Sr 0.3580 0.3580 0.0908  2 C 2.75
C 0.9705 0.9705 0.9213  6 Sr 2.73-2.76

Values from the calculation:
Energy relative to the lowest polymorph listed for this composition, meV per atom: 0
Volume, Å³ per cell: 255.9
Final energy, eV per atom: -2.62
SG: Cm
N(E_F), states/eV per atom: 1.2089

=====

[6]
## SrC2 (PBE-GGA)

Data for a geometry-optimized SrC2 structure.

Lattice parameters (Å, degrees): 3.9585 3.9585 4.4943 90.00 90.00 120.00
Last column: nearest neighbours and their distance in Å.
Element x y z (fractional)
C 0.0000 0.0000 0.8602  1 C 1.26
C 0.0000 0.0000 0.1398  1 C 1.26
Sr 0.3333 0.6667 0.5000  6 C 2.80

Values from the calculation:
Volume, Å³ per cell: 61.0
Final energy, eV per atom: -6.50
SG: P-6m2
N(E_F), states/eV per atom: 0.0000

=====

[7]
## SrC2 (PBE-GGA)

Data for a geometry-optimized SrC2 structure.

Lattice parameters (Å, degrees): 3.3755 3.3755 8.0721 90.00 90.00 90.00
Last column: nearest neighbours and their distance in Å.
Element x y z (fractional)
C 0.5000 0.0000 0.0578  4 C 1.75
C 0.0000 0.5000 0.9422  4 C 1.75
C 0.5000 0.5000 0.0000  4 C 1.75
C 0.0000 0.0000 0.0000  4 C 1.75
Sr 0.5000 0.0000 0.7402  5 C 2.56-2.69
Sr 0.0000 0.5000 0.2598  5 C 2.56-2.69

Values from the calculation:
Volume, Å³ per cell: 92.0
Final energy, eV per atom: -5.47
SG: P4/nmm
N(E_F), states/eV per atom: 0.3371

=====

[8]
## SrC (PBE-GGA)

Data for a geometry-optimized SrC structure.

Lattice parameters (Å, degrees): 2.8650 3.6753 7.7039 76.11 90.00 90.00
Last column: nearest neighbours and their distance in Å.
Element x y z (fractional)
Sr 0.0000 0.4956 0.6366  6 C 2.73-2.82, 2 Sr 2.86
Sr 0.5000 0.2544 0.1134  6 C 2.73-2.82, 2 Sr 2.86
C 0.5000 0.8986 0.8274  2 C 1.60
C 0.0000 0.8514 0.9226  2 C 1.60

Values from the calculation:
Energy relative to the lowest polymorph listed for this composition, meV per atom: 468
Volume, Å³ per cell: 78.7
Final energy, eV per atom: -4.95
SG: P2_1/m
N(E_F), states/eV per atom: 0.4481

=====

[9]
## SrC (PBE-GGA)

Data for a geometry-optimized SrC structure.

Lattice parameters (Å, degrees): 4.3413 4.3413 4.3413 60.00 60.00 60.00
Last column: nearest neighbours and their distance in Å.
Element x y z (fractional)
Sr 0.2500 0.2500 0.2500  4 C 2.66
C 0.0000 0.0000 0.0000  4 Sr 2.66

Values from the calculation:
Energy relative to the lowest polymorph listed for this composition, meV per atom: 1454
Volume, Å³ per cell: 57.9
Final energy, eV per atom: -3.97
SG: F-43m
N(E_F), states/eV per atom: 0.1431

=====

[10]
## Sr3C (PBE-GGA)

Data for a geometry-optimized Sr3C structure.

Lattice parameters (Å, degrees): 4.1354 4.1354 10.8581 79.91 79.91 58.70
Last column: nearest neighbours and their distance in Å.
Element x y z (fractional)
C 0.0000 0.0000 0.0000  6 Sr 2.76
Sr 0.5000 0.5000 0.5000  6 Sr 4.05-4.14
Sr 0.7105 0.7105 0.8675  3 C 2.76
Sr 0.2895 0.2895 0.1325  3 C 2.76

Values from the calculation:
Energy relative to the lowest polymorph listed for this composition, meV per atom: 40
Volume, Å³ per cell: 155.4
Final energy, eV per atom: -3.13
SG: C2/m
N(E_F), states/eV per atom: 1.3077

=====

[11]
## Sr3C (PBE-GGA)

Data for a geometry-optimized Sr3C structure.

Lattice parameters (Å, degrees): 6.5472 7.2364 11.5601 90.00 90.00 90.00
Last column: nearest neighbours and their distance in Å.
Element x y z (fractional)
Sr 0.7847 0.6694 0.6014  2 C 2.74-2.75
Sr 0.2030 0.0787 0.7500  2 C 2.78-2.98
Sr 0.7970 0.9213 0.2500  2 C 2.78-2.98
Sr 0.7847 0.6694 0.8986  2 C 2.74-2.75
Sr 0.7030 0.4213 0.2500  2 C 2.78-2.98
Sr 0.7153 0.1694 0.6014  2 C 2.74-2.75
Sr 0.2970 0.5787 0.7500  2 C 2.78-2.98
Sr 0.2847 0.8306 0.3986  2 C 2.74-2.75
Sr 0.2153 0.3306 0.1014  2 C 2.74-2.75
Sr 0.7153 0.1694 0.8986  2 C 2.74-2.75
Sr 0.2153 0.3306 0.3986  2 C 2.74-2.75
Sr 0.2847 0.8306 0.1014  2 C 2.74-2.75
C 0.0791 0.5990 0.2500  6 Sr 2.74-2.98
C 0.4209 0.0990 0.2500  6 Sr 2.74-2.98
C 0.5791 0.9010 0.7500  6 Sr 2.74-2.98
C 0.9209 0.4010 0.7500  6 Sr 2.74-2.98

Values from the calculation:
Energy relative to the lowest polymorph listed for this composition, meV per atom: 30
Volume, Å³ per cell: 547.7
Final energy, eV per atom: -3.14
SG: Pnma
N(E_F), states/eV per atom: 0.5574

=====

[12]
## Sr3C5 (PBE-GGA)

Data for a geometry-optimized Sr3C5 structure.

Lattice parameters (Å, degrees): 3.8968 3.8968 10.0799 90.00 90.00 90.00
Last column: nearest neighbours and their distance in Å.
Element x y z (fractional)
C 0.0000 0.0000 0.8661  1 C 1.35
C 0.0000 0.0000 0.0000  2 C 1.35
C 0.5000 0.5000 0.4366  1 C 1.28
C 0.5000 0.5000 0.5634  1 C 1.28
C 0.0000 0.0000 0.1339  1 C 1.35
Sr 0.0000 0.0000 0.5000  8 C 2.83
Sr 0.5000 0.5000 0.8259  5 C 2.65-2.79
Sr 0.5000 0.5000 0.1741  5 C 2.65-2.79

Values from the calculation:
Energy relative to the lowest polymorph listed for this composition, meV per atom: 0
Volume, Å³ per cell: 153.1
Final energy, eV per atom: -6.27
SG: P4/mmm
N(E_F), states/eV per atom: 0.3718